VASP calculation (GGA-PBE) on crystalline BaHf2CoB at its relaxed geometry.

Summary:
VASP energy in eV per atom: -4.214
Energy relative to the elements in eV per atom: 2.909

Cell lengths 5.305, 5.305, 4.541 Å; angles 90.00, 90.00, 90.00 degrees
Space group P4/mmm (No. 123)
Symmetry-distinct sites (fractional):
Ba: 0.000 0.000 0.000 [1 per cell]
Hf: 0.000 0.500 0.000 [2 per cell]
Co: 0.000 0.000 0.500 [1 per cell]
B: 0.500 0.500 0.500 [1 per cell]